[1]
TiCrNiN2 GGA-PBE relaxed; calculated volume = 12.07 Å³ per atom; final energy = -33.67 eV for the cell shown; ΔE_f (raw) = 606 kJ/mol of formula units; SG = P4/mmm
1.0
-1.792 1.945 -2.571
-3.577 0.162 2.617
1.241 3.131 1.503
Ni Ti N Cr
1 1 2 1
direct
0.000 0.000 0.000
0.500 0.500 0.500
0.000 0.000 0.500
0.500 0.000 0.000
0.000 0.500 0.000

=====

[2]
Li2Pd4Rh GGA-PBE relaxed; formation enthalpy at 0 K = -0.08 eV per atom; calculated volume = 15.90 Å³ per atom; final energy = -65.01 eV for the cell shown; SG = Cccm
1.0
5.415 -0.389 0.000
-2.541 4.798 0.000
0.000 0.000 8.907
Li Pd Rh
4 8 2
direct
0.995 0.221 0.500
0.779 0.005 0.000
0.005 0.779 0.500
0.221 0.995 0.000
0.733 0.465 0.000
0.000 0.500 0.734
0.535 0.267 0.500
0.500 0.000 0.234
0.267 0.535 0.000
0.465 0.733 0.500
0.000 0.500 0.266
0.500 0.000 0.766
0.500 0.500 0.250
0.500 0.500 0.750

=====

[3]
InPb4Se5 GGA-PBE relaxed; E above lowest polymorph = 5.3 meV per atom; calculated volume = 29.15 Å³ per atom; final energy = -40.20 eV for the cell shown; ΔE_f (raw) = -503 kJ/mol of formula units; SG = I4
1.0
5.527 0.000 2.666
2.764 6.892 1.333
-0.230 0.000 7.540
Se Pb In
5 4 1
direct
0.293 0.807 0.608
0.902 0.392 0.807
0.708 0.193 0.392
0.100 0.608 0.193
0.501 0.000 0.000
0.200 0.203 0.399
0.599 0.601 0.203
0.802 0.797 0.601
0.403 0.399 0.797
0.002 0.000 0.000